No. 1
Computed, not measured: Zr2NbPbC after structural relaxation at the GGA-PBE level of DFT.

a b c (Å): 4.7049 4.7049 4.2474
angles (deg): 90.00 90.00 90.00
Closest atoms and distances in Å follow each position.
Space group P4/mmm (No. 123)
Asymmetric unit:
Zr  0.0000  0.5000  0.0000 [2 per cell]  2 C 2.35
Nb  0.0000  0.0000  0.5000 [1 per cell]  2 C 2.12
Pb  0.5000  0.5000  0.5000 [1 per cell]  8 Zr 3.17, 4 Nb 3.33
C  0.0000  0.0000  0.0000 [1 per cell]  2 Nb 2.12, 4 Zr 2.35

E_form in meV/atom: -288.0

No. 2
Computed, not measured: Nb3PdC after structural relaxation at the GGA-PBE level of DFT.

a b c (Å): 4.2906 4.2906 4.2906
angles (deg): 90.00 90.00 90.00
Closest atoms and distances in Å follow each position.
Space group Pm-3m (No. 221)
Asymmetric unit:
Nb  0.0000  0.0000  0.5000 [3 per cell]  2 C 2.15
Pd  0.5000  0.5000  0.5000 [1 per cell]  12 Nb 3.03
C  0.0000  0.0000  0.0000 [1 per cell]  6 Nb 2.15

E_form in meV/atom: -222.2

No. 3
Computed, not measured: NbPdC3 after structural relaxation at the GGA-PBE level of DFT.

a b c (Å): 4.1773 4.1773 4.1773
angles (deg): 90.00 90.00 90.00
Closest atoms and distances in Å follow each position.
Space group Pm-3m (No. 221)
Asymmetric unit:
Nb  0.0000  0.0000  0.0000 [1 per cell]  6 C 2.09
Pd  0.5000  0.5000  0.5000 [1 per cell]  12 C 2.95
C  0.0000  0.0000  0.5000 [3 per cell]  2 Nb 2.09

E_form in meV/atom: 2120.9

No. 4
Computed, not measured: Nb3Pd2C after structural relaxation at the GGA-PBE level of DFT.

a b c (Å): 7.1177 7.1177 7.1177
angles (deg): 90.00 90.00 90.00
Closest atoms and distances in Å follow each position.
Space group P4_132 (No. 213)
Asymmetric unit:
Nb  0.0465  0.1250  0.7965 [12 per cell]  2 C 2.23
Pd  0.0647  0.9353  0.4353 [8 per cell]  3 Pd 2.66, 6 Nb 2.91-2.97
C  0.1250  0.3750  0.6250 [4 per cell]  6 Nb 2.23

E_form in meV/atom: -331.2

Summary of energy in eV/atom
-8.308, -9.147, -6.466, -8.634
(order as listed above)